(1)
DFT (PBE) results for a relaxed BeAl2Ni9 crystal.

Structure (CIF):
```
data_BeAl2Ni9
_chemical_formula_sum 'Be1 Al2 Ni9'
_space_group_name_H-M_alt 'P 1'
_space_group_IT_number 1
_cell_length_a 3.543
_cell_length_b 3.543
_cell_length_c 10.441
_cell_angle_alpha 90.00
_cell_angle_beta 90.00
_cell_angle_gamma 90.00
loop_
_space_group_symop_operation_xyz
'x,y,z'
loop_
_atom_site_label
_atom_site_fract_x
_atom_site_fract_y
_atom_site_fract_z
Ni1 0.000 0.500 0.156
Al1 0.000 0.000 0.672
Ni2 0.000 0.500 0.844
Ni3 0.500 0.500 0.329
Ni4 0.000 0.500 0.500
Ni5 0.500 0.500 0.671
Ni6 0.500 0.000 0.500
Ni7 0.500 0.500 0.000
Ni8 0.500 0.000 0.156
Be1 0.000 0.000 0.000
Al2 0.000 0.000 0.328
Ni9 0.500 0.000 0.844
```

Formation energy   -0.337 eV/atom
Total magnetization   0.23 μB per atom
Density   7.5 g/cm3



(2)
DFT (PBE) results for a relaxed Be2AlNi crystal.

Structure (CIF):
```
data_Be2AlNi
_chemical_formula_sum 'Be2 Al1 Ni1'
_space_group_name_H-M_alt 'P 1'
_space_group_IT_number 1
_cell_length_a 3.876
_cell_length_b 3.876
_cell_length_c 3.876
_cell_angle_alpha 60.00
_cell_angle_beta 60.00
_cell_angle_gamma 60.00
loop_
_space_group_symop_operation_xyz
'x,y,z'
loop_
_atom_site_label
_atom_site_fract_x
_atom_site_fract_y
_atom_site_fract_z
Be1 0.000 0.000 0.000
Be2 0.250 0.250 0.250
Ni1 0.750 0.750 0.750
Al1 0.500 0.500 0.500
```

Formation energy   -0.232 eV/atom
Total magnetization   0.00 μB per atom
Density   4.2 g/cm3



(3)
DFT (PBE) results for a relaxed BeAlNi2 crystal.

Structure (CIF):
```
data_BeAlNi2
_chemical_formula_sum 'Be1 Al1 Ni2'
_space_group_name_H-M_alt 'P 1'
_space_group_IT_number 1
_cell_length_a 4.650
_cell_length_b 4.650
_cell_length_c 4.650
_cell_angle_alpha 144.63
_cell_angle_beta 131.80
_cell_angle_gamma 61.19
loop_
_space_group_symop_operation_xyz
'x,y,z'
loop_
_atom_site_label
_atom_site_fract_x
_atom_site_fract_y
_atom_site_fract_z
Be1 0.235 0.735 0.500
Al1 0.494 0.494 0.000
Ni1 0.753 0.253 0.500
Ni2 0.019 0.019 0.000
```

Formation energy   -0.424 eV/atom
Total magnetization   0.00 μB per atom
Density   5.9 g/cm3



Question: What is the formation energy in the first record?
Answer: -0.337 eV/atom